No. 1
First-principles (GGA-PBE) data for a relaxed structure of ZrTeP, as listed in Alexandria via LeMat-Bulk.

abc: 4.7551 4.7551 4.7551
angles: 60.00 60.00 60.00
Positions (direct):
Zr 0.0000 0.0000 0.0000
Te 0.7500 0.7500 0.7500
P 0.2500 0.2500 0.2500

Computed properties:
**Formation energy (no corrections)**: -313 meV/atom
**DOS at the Fermi energy**: 2.1 states/eV/f.u.

---

No. 2
First-principles (GGA-PBE) data for a relaxed structure of AcPmAl2O6, as listed in Alexandria via LeMat-Bulk.

abc: 7.2008 7.2008 5.8624
angles: 100.38 100.38 87.32
Positions (direct):
Ac 0.1776 0.8224 0.7500
Ac 0.8224 0.1776 0.2500
Pm 0.4022 0.5978 0.2500
Pm 0.5978 0.4022 0.7500
Al 0.1210 0.3005 0.7701
Al 0.3005 0.1210 0.2701
Al 0.6995 0.8790 0.7299
Al 0.8790 0.6995 0.2299
O 0.1091 0.6307 0.3433
O 0.1300 0.1780 0.0179
O 0.1780 0.1300 0.5179
O 0.2845 0.4872 0.8518
O 0.3693 0.8909 0.1567
O 0.4872 0.2845 0.3518
O 0.5128 0.7155 0.6482
O 0.6307 0.1091 0.8433
O 0.7155 0.5128 0.1482
O 0.8220 0.8700 0.4821
O 0.8700 0.8220 0.9821
O 0.8909 0.3693 0.6567

Computed properties:
**Formation energy (no corrections)**: -3231 meV/atom
**DOS at the Fermi energy**: 0.0 states/eV/f.u.

---

No. 3
First-principles (GGA-PBE) data for a relaxed structure of LiErLuPb, as listed in Alexandria via LeMat-Bulk.

abc: 5.2240 5.2240 5.2240
angles: 60.00 60.00 60.00
Positions (direct):
Li 0.0000 0.0000 0.0000
Er 0.2500 0.2500 0.2500
Lu 0.7500 0.7500 0.7500
Pb 0.5000 0.5000 0.5000

Computed properties:
**DOS at the Fermi energy**: 4.0 states/eV/f.u.
**Formation energy from the elements**: -0.20 eV/atom

---

No. 4
First-principles (GGA-PBE) data for a relaxed structure of KP3Rh, as listed in Alexandria via LeMat-Bulk.

abc: 4.9831 4.9831 4.9831
angles: 90.00 90.00 90.00
Positions (direct):
K 0.0000 0.0000 0.0000
P 0.0000 0.0000 0.5000
P 0.0000 0.5000 0.0000
P 0.5000 0.0000 0.0000
Rh 0.5000 0.5000 0.5000

Computed properties:
**DOS at the Fermi energy**: 4.2 states/eV/f.u.
**Formation energy from the elements**: 2.42 eV/atom

---

No. 5
First-principles (GGA-PBE) data for a relaxed structure of TiPdAu3, as listed in Alexandria via LeMat-Bulk.

abc: 6.9603 6.9603 7.6756
angles: 90.69 90.69 79.75
Positions (direct):
Ti 0.0149 0.7531 0.9112
Ti 0.2469 0.9851 0.5888
Ti 0.7531 0.0149 0.4112
Ti 0.9851 0.2469 0.0888
Pd 0.0896 0.9104 0.2500
Pd 0.3563 0.6437 0.7500
Pd 0.6437 0.3563 0.2500
Pd 0.9104 0.0896 0.7500
Au 0.0090 0.7028 0.5558
Au 0.1406 0.3633 0.7835
Au 0.2785 0.5112 0.1052
Au 0.2972 0.9910 0.9442
Au 0.3633 0.1406 0.2835
Au 0.4888 0.7215 0.3948
Au 0.5112 0.2785 0.6052
Au 0.6367 0.8594 0.7165
Au 0.7028 0.0090 0.0558
Au 0.7215 0.4888 0.8948
Au 0.8594 0.6367 0.2165
Au 0.9910 0.2972 0.4442

Computed properties:
**DOS at the Fermi energy**: 3.0 states/eV/f.u.
**Formation energy from the elements**: -0.23 eV/atom

---

No. 6
First-principles (GGA-PBE) data for a relaxed structure of Si2NiAu, as listed in Alexandria via LeMat-Bulk.

abc: 8.2676 8.2676 8.2676
angles: 151.90 151.90 40.15
Positions (direct):
Si 0.0766 0.6250 0.9516
Si 0.3750 0.3266 0.4516
Si 0.6734 0.1250 0.0484
Si 0.8750 0.9234 0.5484
Ni 0.0000 0.0000 0.0000
Ni 0.7500 0.2500 0.5000
Au 0.2500 0.7500 0.5000
Au 0.5000 0.5000 0.0000

Computed properties:
**Formation energy (no corrections)**: -48 meV/atom
**DOS at the Fermi energy**: 1.6 states/eV/f.u.